# 1
VASP calculation (PBE-GGA) on an optimized crystal structure of Ba2Cu5F14.

Results
E_form (uncorrected) = -46.3 eV/f.u.
total magnetization = 20.257 μB/cell
Fermi-level density of states = 0.2571 states/eV/atom

```
data_Ba2Cu5F14
_cell_length_a 18.465
_cell_length_b 6.705
_cell_length_c 10.481
_cell_angle_alpha 90.00
_cell_angle_beta 116.44
_cell_angle_gamma 90.00
_space_group_name_H-M_alt 'C 1 2/c 1'
_space_group_IT_number 15
loop_
_space_group_symop_operation_xyz
'x,y,z'
'-x,-y,-z'
'-x,y,-z+1/2'
'x,-y,z+1/2'
'x+1/2,y+1/2,z'
'-x+1/2,-y+1/2,-z'
'-x+1/2,y+1/2,-z+1/2'
'x+1/2,-y+1/2,z+1/2'
loop_
_atom_site_label
_atom_site_fract_x
_atom_site_fract_y
_atom_site_fract_z
_atom_site_occupancy
Ba1 0.164 0.115 0.133 1
Cu1 0.000 0.148 0.250 1
Cu2 0.035 0.357 0.639 1
Cu3 0.173 0.381 0.491 1
F1 0.032 0.069 0.643 1
F2 0.035 0.351 0.134 1
F3 0.077 0.368 0.891 1
F4 0.111 0.144 0.397 1
F5 0.141 0.335 0.643 1
F6 0.222 0.368 0.363 1
F7 0.248 0.422 0.105 1
```

# 2
VASP calculation (PBE-GGA) on an optimized crystal structure of CsSn2Au.

Results
total magnetization = 0.000 μB/cell
Fermi-level density of states = 0.3802 states/eV/atom
E_form = -0.1331 eV/atom

```
data_CsSn2Au
_cell_length_a 3.809
_cell_length_b 3.809
_cell_length_c 8.708
_cell_angle_alpha 90.00
_cell_angle_beta 90.00
_cell_angle_gamma 90.00
_space_group_name_H-M_alt 'P 4/m m m'
_space_group_IT_number 123
_space_group_name_Hall '-P 4 2'
loop_
_atom_site_label
_atom_site_fract_x
_atom_site_fract_y
_atom_site_fract_z
_atom_site_occupancy
Cs1 0.000 0.000 0.000 1
Sn1 0.500 0.500 0.335 1
Au1 0.000 0.000 0.500 1
```